Entry 1:
# UNi15Sn4

A relaxed UNi15Sn4 crystal (PBE, the Alexandria database).

a = 3.764 Å, b = 3.764 Å, c = 18.643 Å
α = 90.00°, β = 90.00°, γ = 90.00°
Positions (direct):
U 0.000 0.000 0.000
Ni 0.000 0.500 0.099
Ni 0.000 0.500 0.301
Ni 0.000 0.500 0.500
Ni 0.000 0.500 0.699
Ni 0.000 0.500 0.901
Ni 0.500 0.000 0.099
Ni 0.500 0.000 0.301
Ni 0.500 0.000 0.500
Ni 0.500 0.000 0.699
Ni 0.500 0.000 0.901
Ni 0.500 0.500 0.000
Ni 0.500 0.500 0.200
Ni 0.500 0.500 0.400
Ni 0.500 0.500 0.600
Ni 0.500 0.500 0.800
Sn 0.000 0.000 0.204
Sn 0.000 0.000 0.401
Sn 0.000 0.000 0.599
Sn 0.000 0.000 0.796

Calculated values
For the total energy, the calculation gives -5.893 eV per atom. As for the energy of formation from the pure elements: -192 meV per atom. The volume comes out at 13.2 Å³/atom. Its size of the total moment is 0.034 μB/atom.

Entry 2:
# CuTeIN2

A relaxed CuTeIN2 crystal (PBE, the Alexandria database).

a = 4.151 Å, b = 4.151 Å, c = 6.459 Å
α = 90.00°, β = 90.00°, γ = 90.00°
Positions (direct):
Cu 0.000 0.000 0.000
Te 0.500 0.500 0.500
I 0.000 0.000 0.500
N 0.000 0.500 0.000
N 0.500 0.000 0.000

Calculated values
For the total energy, the calculation gives -3.382 eV per atom. As for the formation energy from raw total energies: 1.71 eV per atom. The polymorph energy (0 for the lowest one) comes out at 0.3553 eV per atom. The volume comes out at 22.3 Å³/atom. Its size of the total moment is 0.863 μB/atom.

Entry 3:
# ScVFeMo

A relaxed ScVFeMo crystal (PBE, the Alexandria database).

a = 4.382 Å, b = 4.382 Å, c = 4.382 Å
α = 60.00°, β = 60.00°, γ = 60.00°
Positions (direct):
Sc 0.000 0.000 0.000
V 0.500 0.500 0.500
Fe 0.250 0.250 0.250
Mo 0.750 0.750 0.750

Calculated values
For the total energy, the calculation gives -8.604 eV per atom. As for the energy of formation from the pure elements: 82 meV per atom. The volume comes out at 14.9 Å³/atom. Its size of the total moment is 0.318 μB/atom.

Entry 4:
# Y4PBr

A relaxed Y4PBr crystal (PBE, the Alexandria database).

a = 6.275 Å, b = 6.275 Å, c = 6.275 Å
α = 60.00°, β = 60.00°, γ = 60.00°
Positions (direct):
Y 0.376 0.376 0.376
Y 0.376 0.376 0.872
Y 0.376 0.872 0.376
Y 0.872 0.376 0.376
P 0.750 0.750 0.750
Br 0.000 0.000 0.000

Calculated values
For the total energy, the calculation gives -5.201 eV per atom. As for the formation energy from raw total energies: 0.29 eV per atom. The volume comes out at 29.1 Å³/atom. Its size of the total moment is 0.000 μB/atom.

Entry 5:
# InNi3Ge

A relaxed InNi3Ge crystal (PBE, the Alexandria database).

a = 4.350 Å, b = 4.350 Å, c = 4.350 Å
α = 90.00°, β = 90.00°, γ = 90.00°
Positions (direct):
In 0.000 0.000 0.000
Ni 0.000 0.500 0.500
Ni 0.500 0.000 0.500
Ni 0.500 0.500 0.000
Ge 0.500 0.500 0.500

Calculated values
For the total energy, the calculation gives -4.629 eV per atom. The polymorph energy (0 for the lowest one) comes out at 0.4184 eV per atom. As for the energy of formation from the pure elements: 311 meV per atom. The volume comes out at 16.5 Å³/atom. Its size of the total moment is 0.000 μB/atom.

Entry 6:
# Sc4Ta3

A relaxed Sc4Ta3 crystal (PBE, the Alexandria database).

a = 5.568 Å, b = 5.568 Å, c = 5.692 Å
α = 90.00°, β = 90.00°, γ = 120.00°
Positions (direct):
Sc 0.000 0.000 0.248
Sc 0.000 0.000 0.752
Sc 0.333 0.667 0.500
Sc 0.667 0.333 0.500
Ta 0.000 0.500 0.000
Ta 0.500 0.000 0.000
Ta 0.500 0.500 0.000

Calculated values
For the total energy, the calculation gives -8.461 eV per atom. As for the energy of formation from the pure elements: 236 meV per atom. The volume comes out at 21.8 Å³/atom. Its size of the total moment is 0.000 μB/atom.

> Look up the volume of the fourth one.

29.1 Å³/atom

> Which of these has the highest size of the total moment?

CuTeIN2

Please write out number 1 again, unchanged.
# UNi15Sn4

A relaxed UNi15Sn4 crystal (PBE, the Alexandria database).

a = 3.764 Å, b = 3.764 Å, c = 18.643 Å
α = 90.00°, β = 90.00°, γ = 90.00°
Positions (direct):
U 0.000 0.000 0.000
Ni 0.000 0.500 0.099
Ni 0.000 0.500 0.301
Ni 0.000 0.500 0.500
Ni 0.000 0.500 0.699
Ni 0.000 0.500 0.901
Ni 0.500 0.000 0.099
Ni 0.500 0.000 0.301
Ni 0.500 0.000 0.500
Ni 0.500 0.000 0.699
Ni 0.500 0.000 0.901
Ni 0.500 0.500 0.000
Ni 0.500 0.500 0.200
Ni 0.500 0.500 0.400
Ni 0.500 0.500 0.600
Ni 0.500 0.500 0.800
Sn 0.000 0.000 0.204
Sn 0.000 0.000 0.401
Sn 0.000 0.000 0.599
Sn 0.000 0.000 0.796

Calculated values
For the total energy, the calculation gives -5.893 eV per atom. As for the energy of formation from the pure elements: -192 meV per atom. The volume comes out at 13.2 Å³/atom. Its size of the total moment is 0.034 μB/atom.